Entry 1:
DFT (PBE-GGA) results for crystalline PmTlPdO4 at its relaxed geometry.

Structure (extended XYZ):
```
14
Lattice="-3.290 3.485 4.963 3.290 -3.485 4.963 3.290 3.485 -4.963" Properties=species:S:1:pos:R:3 pbc="T T T"
Pm 0.000 1.743 1.927
Pm 3.290 1.743 3.036
Tl 3.290 0.000 0.000
Tl 0.000 0.000 4.963
Pd 1.645 1.743 -2.481
Pd 1.645 -1.743 2.481
O 3.290 -0.487 2.276
O 3.290 2.998 -2.276
O 1.933 1.743 0.820
O 4.648 1.743 0.820
O -1.357 1.743 4.142
O 1.357 1.743 4.142
O 0.000 0.487 7.238
O 0.000 3.972 2.687
```

Values from the calculation:
Formation energy without anion corrections, eV per formula unit: -10.016
Magnetic moment, μB per cell: 0.0
Space-group type: Imma, No. 74

Entry 2:
DFT (PBE-GGA) results for crystalline Pm2TmPdO6 at its relaxed geometry.

Structure (extended XYZ):
```
10
Lattice="5.679 0.000 0.000 -2.739 5.143 0.000 0.000 -3.183 4.929" Properties=species:S:1:pos:R:3 pbc="T T T"
Pm 0.000 0.000 0.000
Pm 2.796 -1.605 2.520
Tm 2.885 1.748 1.652
Pd 0.054 0.182 4.230
O -1.539 3.224 0.635
O -1.082 1.590 3.162
O 1.020 2.042 0.575
O 1.831 0.420 3.153
O 3.516 -0.115 0.764
O 4.989 -1.829 3.109
```

Values from the calculation:
Formation energy without anion corrections, eV per formula unit: -26.100
Magnetic moment, μB per cell: 1.0
Space-group type: P1, No. 1

Entry 3:
DFT (PBE-GGA) results for crystalline Pm2ZnPdO5 at its relaxed geometry.

Structure (extended XYZ):
```
18
Lattice="6.729 0.000 0.000 0.000 6.729 0.000 0.000 0.000 5.717" Properties=species:S:1:pos:R:3 pbc="T T T"
Pm 1.158 2.206 0.000
Pm 2.206 5.571 0.000
Pm 4.523 1.158 0.000
Pm 5.571 4.523 0.000
Zn 0.000 0.000 2.858
Zn 3.364 3.364 2.858
Pd 0.000 3.364 2.858
Pd 3.364 0.000 2.858
O 0.000 0.000 0.000
O 0.966 4.331 1.426
O 0.966 4.331 4.291
O 2.398 0.966 1.426
O 2.398 0.966 4.291
O 3.364 3.364 0.000
O 4.331 5.762 1.426
O 4.331 5.762 4.291
O 5.762 2.398 1.426
O 5.762 2.398 4.291
```

Values from the calculation:
Formation energy without anion corrections, eV per formula unit: -16.992
Magnetic moment, μB per cell: 0.0
Space-group type: P4/mbm, No. 127

Entry 4:
DFT (PBE-GGA) results for crystalline PmZn3Pd4O12 at its relaxed geometry.

Structure (extended XYZ):
```
20
Lattice="-3.843 3.843 3.843 3.843 -3.843 3.843 3.843 3.843 -3.843" Properties=species:S:1:pos:R:3 pbc="T T T"
Pm 0.000 0.000 0.000
Zn 3.843 0.000 0.000
Zn 0.000 3.843 0.000
Zn 0.000 0.000 3.843
Pd 1.922 1.922 -1.922
Pd 1.922 -1.922 1.922
Pd -1.922 1.922 1.922
Pd 1.922 1.922 1.922
O 3.843 -1.550 2.545
O 2.294 1.298 0.000
O 5.393 1.298 0.000
O 2.545 3.843 -1.550
O 1.298 0.000 2.294
O 0.000 2.294 1.298
O 3.843 1.550 2.545
O 2.545 3.843 1.550
O 1.298 0.000 5.393
O -1.550 2.545 3.843
O 1.550 2.545 3.843
O 0.000 5.393 1.298
```

Values from the calculation:
Formation energy without anion corrections, eV per formula unit: -19.772
Magnetic moment, μB per cell: 0.0
Space-group type: Im-3, No. 204

Entry 5:
DFT (PBE-GGA) results for crystalline Pr2Pd2O7 at its relaxed geometry.

Structure (extended XYZ):
```
22
Lattice="0.000 5.274 5.274 5.274 0.000 5.274 5.274 5.274 0.000" Properties=species:S:1:pos:R:3 pbc="T T T"
Pr 0.000 0.000 0.000
Pr 2.637 2.637 0.000
Pr 2.637 0.000 2.637
Pr 0.000 2.637 2.637
Pd 5.274 2.637 2.637
Pd 2.637 5.274 2.637
Pd 2.637 2.637 5.274
Pd 5.274 5.274 5.274
O 1.319 1.319 1.319
O 3.956 3.956 1.754
O 3.956 1.754 3.956
O 6.157 3.956 3.956
O 6.593 6.593 4.391
O 6.593 4.391 6.593
O 8.794 6.593 6.593
O 1.754 3.956 3.956
O 3.956 6.157 3.956
O 3.956 3.956 6.157
O 4.391 6.593 6.593
O 6.593 8.794 6.593
O 6.593 6.593 8.794
O 9.230 9.230 9.230
```

Values from the calculation:
Formation energy without anion corrections, eV per formula unit: -19.538
Magnetic moment, μB per cell: 0.0
Space-group type: Fd-3m, No. 227

Entry 6:
DFT (PBE-GGA) results for crystalline PrPdO3 at its relaxed geometry.

Structure (extended XYZ):
```
20
Lattice="4.022 0.000 0.000 0.000 12.976 0.000 0.000 0.000 5.680" Properties=species:S:1:pos:R:3 pbc="T T T"
Pr 0.950 1.051 1.420
Pr 0.950 5.436 4.260
Pr 3.072 7.539 1.420
Pr 3.072 11.924 4.260
Pd 1.760 8.689 4.260
Pd 1.760 10.774 1.420
Pd 2.262 2.201 4.260
Pd 2.262 4.287 1.420
O 1.007 7.490 2.873
O 1.007 7.490 5.647
O 1.007 11.973 0.033
O 1.007 11.973 2.807
O 1.357 3.244 0.000
O 1.357 3.244 2.840
O 2.665 9.732 0.000
O 2.665 9.732 2.840
O 3.015 1.002 2.873
O 3.015 1.002 5.647
O 3.015 5.485 0.033
O 3.015 5.485 2.807
```

Values from the calculation:
Formation energy without anion corrections, eV per formula unit: -9.188
Magnetic moment, μB per cell: 3.3
Space-group type: Pbcm, No. 57

Entry 7:
DFT (PBE-GGA) results for crystalline Pr2PdO4 at its relaxed geometry.

Structure (extended XYZ):
```
14
Lattice="6.420 -2.876 0.000 6.420 2.876 0.000 0.000 0.000 5.748" Properties=species:S:1:pos:R:3 pbc="T T T"
Pr 1.993 0.000 0.000
Pr 4.426 0.000 2.874
Pr 8.413 0.000 2.874
Pr 10.846 0.000 0.000
Pd 0.000 0.000 2.874
Pd 6.420 0.000 0.000
O 3.210 1.384 4.311
O 6.420 1.778 4.651
O 6.420 1.098 1.777
O 3.210 -1.384 1.437
O 9.629 1.384 4.311
O 6.420 -1.098 3.972
O 6.420 -1.778 1.097
O 9.629 -1.384 1.437
```

Values from the calculation:
Formation energy without anion corrections, eV per formula unit: -17.527
Magnetic moment, μB per cell: 0.0
Relative energy among the computed polymorphs, meV/atom: 0
Space-group type: Cmce, No. 64

Entry 8:
DFT (PBE-GGA) results for crystalline Pr3PdO6 at its relaxed geometry.

Structure (extended XYZ):
```
20
Lattice="4.730 -5.766 0.000 4.730 5.766 0.000 0.000 0.000 5.711" Properties=species:S:1:pos:R:3 pbc="T T T"
Pr 4.730 4.557 2.856
Pr 2.792 1.337 3.162
Pr 2.792 -1.337 0.307
Pr 6.669 1.337 3.162
Pr 6.669 -1.337 0.307
Pr 4.730 -4.557 0.000
Pd 4.730 1.552 0.298
Pd 4.730 -1.552 3.154
O 3.361 2.873 1.388
O 1.490 0.148 1.599
O 1.490 -0.148 4.454
O 4.730 2.557 4.275
O 6.099 2.873 1.388
O 4.730 0.196 1.965
O 4.730 -0.196 4.820
O 3.361 -2.873 4.243
O 4.730 -2.557 1.420
O 7.970 0.148 1.599
O 7.970 -0.148 4.454
O 6.099 -2.873 4.243
```

Values from the calculation:
Formation energy without anion corrections, eV per formula unit: -25.057
Magnetic moment, μB per cell: 2.0
Relative energy among the computed polymorphs, meV/atom: 24
Space-group type: Cmc2_1, No. 36

Entry 9:
DFT (PBE-GGA) results for crystalline PrPdO4 at its relaxed geometry.

Structure (extended XYZ):
```
12
Lattice="3.317 -4.691 0.000 3.317 4.691 0.000 -2.553 0.000 5.626" Properties=species:S:1:pos:R:3 pbc="T T T"
Pr 1.402 3.338 4.219
Pr 2.678 -3.338 1.406
Pd 2.678 0.023 1.406
Pd 1.402 -0.023 4.219
O -0.425 0.325 3.556
O 0.851 -0.325 0.744
O 1.894 1.337 2.754
O 3.462 1.337 0.059
O 0.618 -1.337 5.567
O 2.186 -1.337 2.872
O 3.229 0.325 4.882
O 4.505 -0.325 2.069
```

Values from the calculation:
Formation energy without anion corrections, eV per formula unit: -8.430
Magnetic moment, μB per cell: 0.0
Space-group type: C2/c, No. 15

Entry 10:
DFT (PBE-GGA) results for crystalline Pr4Pd2O at its relaxed geometry.

Structure (extended XYZ):
```
7
Lattice="-2.445 2.445 7.496 2.445 -2.445 7.496 2.445 2.445 -7.496" Properties=species:S:1:pos:R:3 pbc="T T T"
Pr 2.445 0.000 0.000
Pr 0.000 0.000 2.779
Pr 0.000 2.445 0.000
Pr 0.000 0.000 12.212
Pd 0.000 0.000 5.582
Pd 0.000 0.000 9.409
O 0.000 0.000 0.000
```

Values from the calculation:
Formation energy without anion corrections, eV per formula unit: -7.992
Magnetic moment, μB per cell: 0.0
Space-group type: I4/mmm, No. 139

Entry 11:
DFT (PBE-GGA) results for crystalline Pr2PdO4 at its relaxed geometry.

Structure (extended XYZ):
```
14
Lattice="0.000 4.994 4.994 4.994 0.000 4.994 4.994 4.994 0.000" Properties=species:S:1:pos:R:3 pbc="T T T"
Pr 0.000 0.000 0.000
Pr 2.497 2.497 0.000
Pr 2.497 0.000 2.497
Pr 0.000 2.497 2.497
Pd 3.745 3.745 3.745
Pd 6.242 6.242 6.242
O 7.579 4.905 4.905
O 2.408 2.408 2.408
O 5.082 5.082 2.408
O 5.082 2.408 5.082
O 4.905 7.579 4.905
O 4.905 4.905 7.579
O 7.579 7.579 7.579
O 2.408 5.082 5.082
```

Values from the calculation:
Formation energy without anion corrections, eV per formula unit: -14.153
Magnetic moment, μB per cell: 4.0
Relative energy among the computed polymorphs, meV/atom: 482
Space-group type: Fd-3m, No. 227

Entry 12:
DFT (PBE-GGA) results for crystalline PrPd3O4 at its relaxed geometry.

Structure (extended XYZ):
```
16
Lattice="5.954 0.000 0.000 0.000 5.954 0.000 0.000 0.000 5.954" Properties=species:S:1:pos:R:3 pbc="T T T"
Pr 0.000 0.000 0.000
Pr 2.977 2.977 2.977
Pd 0.000 1.488 2.977
Pd 0.000 4.465 2.977
Pd 1.488 2.977 0.000
Pd 2.977 0.000 1.488
Pd 2.977 0.000 4.465
Pd 4.465 2.977 0.000
O 1.488 1.488 1.488
O 1.488 1.488 4.465
O 1.488 4.465 1.488
O 1.488 4.465 4.465
O 4.465 1.488 1.488
O 4.465 1.488 4.465
O 4.465 4.465 1.488
O 4.465 4.465 4.465
```

Values from the calculation:
Formation energy without anion corrections, eV per formula unit: -10.445
Magnetic moment, μB per cell: 0.0
Space-group type: Pm-3n, No. 223

| no. | volume (Å³/f.u.) |
| --- | --- |
| 1 | 114 |
| 2 | 144 |
| 3 | 129 |
| 4 | 227 |
| 5 | 147 |
| 6 | 74 |
| 7 | 106 |
| 8 | 156 |
| 9 | 88 |
| 10 | 179 |
| 11 | 125 |
| 12 | 106 |